First-principles (PBE) data for a relaxed Li2TeCS crystal, as listed in Alexandria.

Structure (extended XYZ):
```
5
Lattice="5.2354 0.0000 0.0000 0.0000 3.4605 0.0000 0.0000 0.0000 5.2354" Properties=species:S:1:pos:R:3 pbc="T T T"
S 0.0000 1.7302 0.0000
Te 2.6177 1.7302 2.6177
C 0.0000 0.0000 0.0000
Li 0.0000 0.0000 2.6177
Li 2.6177 0.0000 0.0000
```

Values from the calculation:
space-group type = No. 123
formation energy from raw total energies = 213 meV/atom
uncorrected energy = -3.85 eV/atom

=====

First-principles (PBE) data for a relaxed LiUCS crystal, as listed in Alexandria.

Structure (extended XYZ):
```
8
Lattice="3.8743 0.0000 0.0000 1.9372 3.3553 0.0000 1.9372 1.1184 9.9215" Properties=species:S:1:pos:R:3 pbc="T T T"
Li 5.8115 3.3553 9.0583
Li 1.9372 1.1184 0.8632
U 1.9372 1.1184 6.3753
U 5.8115 3.3553 3.5462
C 5.8115 3.3553 5.8162
C 1.9372 1.1184 4.1053
S 3.8743 2.2368 1.6601
S 3.8743 2.2368 8.2614
```

Values from the calculation:
space-group type = No. 166
formation energy from raw total energies = -804 meV/atom
uncorrected energy = -7.44 eV/atom

=====

First-principles (PBE) data for a relaxed Li2ZrCS crystal, as listed in Alexandria.

Structure (extended XYZ):
```
5
Lattice="-3.6118 3.2145 -3.5234 -3.7749 -1.4188 2.5751 0.6853 4.7236 3.6070" Properties=species:S:1:pos:R:3 pbc="T T T"
S -1.8874 -0.7094 1.2876
C -3.3507 3.2597 1.3294
Zr 0.0000 0.0000 0.0000
Li 0.3426 2.3618 1.8035
Li -1.8059 1.6073 -1.7617
```

Values from the calculation:
space-group type = No. 123
formation energy from raw total energies = 1526 meV/atom
uncorrected energy = -3.62 eV/atom

=====

First-principles (PBE) data for a relaxed LiSbC2 crystal, as listed in Alexandria.

Structure (extended XYZ):
```
8
Lattice="5.2557 0.0000 0.0000 0.0000 5.2557 0.0000 2.6278 2.6278 4.6327" Properties=species:S:1:pos:R:3 pbc="T T T"
Sb 0.0000 0.0000 0.0000
Sb 5.2557 2.6278 2.3163
C 4.0226 1.3139 1.1582
C 1.2331 3.9418 1.1582
C 3.9418 3.8609 3.4745
C 6.5696 6.6504 3.4745
Li 2.6278 2.6278 0.0000
Li 2.6278 5.2557 2.3163
```

Values from the calculation:
space-group type = No. 122
formation energy from raw total energies = 1469 meV/atom
uncorrected energy = -4.65 eV/atom

=====

First-principles (PBE) data for a relaxed LiSb3C crystal, as listed in Alexandria.

Structure (extended XYZ):
```
5
Lattice="4.8524 0.0000 0.0000 0.0000 4.8524 0.0000 0.0000 0.0000 4.8524" Properties=species:S:1:pos:R:3 pbc="T T T"
Sb 0.0000 2.4262 0.0000
Sb 0.0000 0.0000 2.4262
Sb 2.4262 0.0000 0.0000
C 2.4262 2.4262 2.4262
Li 0.0000 0.0000 0.0000
```

Values from the calculation:
space-group type = No. 221
formation energy from raw total energies = 1573 meV/atom
uncorrected energy = -3.13 eV/atom

=====

First-principles (PBE) data for a relaxed LiSb3C crystal, as listed in Alexandria.

Structure (extended XYZ):
```
5
Lattice="4.8246 0.0000 0.0000 0.0000 4.8246 0.0000 0.0000 0.0000 4.8246" Properties=species:S:1:pos:R:3 pbc="T T T"
Sb 0.0000 2.4123 0.0000
Sb 0.0000 0.0000 2.4123
Sb 2.4123 0.0000 0.0000
C 0.0000 0.0000 0.0000
Li 2.4123 2.4123 2.4123
```

Values from the calculation:
space-group type = No. 221
formation energy from raw total energies = 774 meV/atom
uncorrected energy = -3.93 eV/atom

=====

First-principles (PBE) data for a relaxed Li2Sc2C crystal, as listed in Alexandria.

Structure (extended XYZ):
```
5
Lattice="-1.5880 -0.7214 -2.5568 2.4607 -1.5224 -1.0987 -2.2115 -7.9862 1.7534" Properties=species:S:1:pos:R:3 pbc="T T T"
Sc 0.0323 -2.1693 -1.2813
Sc -1.3711 -8.0606 -0.6208
C 0.0000 0.0000 0.0000
Li -1.6816 -4.9147 -1.3156
Li 0.3428 -5.3152 -0.5866
```

Values from the calculation:
energy relative to the elements = 0.323 eV per atom
space-group type = No. 139
uncorrected energy = -4.82 eV/atom

=====

First-principles (PBE) data for a relaxed LiScC crystal, as listed in Alexandria.

Structure (extended XYZ):
```
6
Lattice="11.2978 0.0000 0.0011 5.2930 1.7656 -1.9576 -5.2930 1.7656 1.9576" Properties=species:S:1:pos:R:3 pbc="T T T"
Sc 3.9511 1.7656 1.2427
Sc 7.0523 1.7656 0.9379
C 7.8772 1.7656 -1.2118
C 10.9798 1.7656 -0.8360
Li 1.2672 1.7656 0.9131
Li -0.9061 1.7656 1.2449
```

Values from the calculation:
energy relative to the elements = -0.057 eV per atom
space-group type = No. 8
uncorrected energy = -5.88 eV/atom

=====

First-principles (PBE) data for a relaxed LiScC crystal, as listed in Alexandria.

Structure (extended XYZ):
```
6
Lattice="3.7506 0.0000 0.0000 0.0000 3.7506 0.0000 0.0000 0.0000 5.7383" Properties=species:S:1:pos:R:3 pbc="T T T"
Sc 0.0000 0.0000 4.4694
Sc 0.0000 0.0000 1.6003
C 0.0000 1.8753 0.0013
C 1.8753 0.0000 2.8705
Li 1.8753 1.8753 0.7450
Li 1.8753 1.8753 3.6141
```

Values from the calculation:
energy relative to the elements = -0.087 eV per atom
space-group type = No. 105
uncorrected energy = -5.91 eV/atom

=====

First-principles (PBE) data for a relaxed LiScC crystal, as listed in Alexandria.

Structure (extended XYZ):
```
6
Lattice="14.5803 0.0000 -0.2044 4.9190 1.6399 -1.8865 -4.9190 1.6399 1.8865" Properties=species:S:1:pos:R:3 pbc="T T T"
Sc 12.3184 1.6399 -0.9222
Sc 5.5105 1.6399 -1.8322
C 15.7655 1.6399 -1.8553
C 14.3986 1.6399 -1.5672
Li 2.9333 1.6399 -0.1423
Li 9.4584 1.6399 -0.9680
```

Values from the calculation:
energy relative to the elements = -0.071 eV per atom
space-group type = No. 8
uncorrected energy = -5.89 eV/atom

=====

First-principles (PBE) data for a relaxed LiScC crystal, as listed in Alexandria.

Structure (extended XYZ):
```
6
Lattice="0.3807 5.0991 4.5911 0.3743 1.9391 6.5821 3.5335 3.1368 4.9899" Properties=species:S:1:pos:R:3 pbc="T T T"
Sc 0.4764 1.1303 1.7955
Sc 3.8121 9.0446 14.3676
C 0.0000 0.0000 0.0000
C 2.1442 5.0875 8.0816
Li 1.4832 3.5190 5.5900
Li 2.8053 6.6559 10.5731
```

Values from the calculation:
energy relative to the elements = -0.139 eV per atom
space-group type = No. 166
uncorrected energy = -5.96 eV/atom

=====

First-principles (PBE) data for a relaxed LiScC crystal, as listed in Alexandria.

Structure (extended XYZ):
```
6
Lattice="-0.4058 0.3815 -3.3541 -2.8956 -1.7758 0.1484 -3.0536 5.0581 0.9448" Properties=species:S:1:pos:R:3 pbc="T T T"
Sc -3.4394 2.4110 0.6904
Sc -1.2649 1.9499 -1.3485
C -2.2615 0.4599 0.3259
C -2.4428 3.9010 -0.9840
Li 0.0000 0.0000 0.0000
Li -1.6507 -0.6971 -1.6029
```

Values from the calculation:
energy relative to the elements = -0.135 eV per atom
space-group type = No. 129
uncorrected energy = -5.96 eV/atom

=====

- What is the formula in the ninth record?
  LiScC

=====

- Which value of uncorrected energy does entry 12 give?
  -5.96 eV/atom

=====

- Which formula does entry 3 have?
  Li2ZrCS